1.
First-principles (PBE) data for a relaxed structure of La2GaCl, as listed in Alexandria.

Computed properties:
ΔE_f (raw)	-4.06	eV per formula unit
size of the total moment	0.00	μB per atom
energy above the lowest structure with this stoichiometry	0.027	eV/atom

Cell: 3.880 3.880 8.956 Å, 77.49 77.49 60.00°
Fractional coordinates of all 4 atoms:
La: 0.081 0.081 0.756
La: 0.253 0.253 0.242
Ga: 0.667 0.667 0.000
Cl: 0.500 0.500 0.501



2.
First-principles (PBE) data for a relaxed structure of Pr2DySe2S2, as listed in Alexandria.

Computed properties:
ΔE_f (raw)	-11.55	eV per formula unit
size of the total moment	0.00	μB per atom

Cell: 5.079 5.079 8.356 Å, 107.69 107.69 90.00°
Fractional coordinates of all 7 atoms:
Pr: 0.376 0.376 0.752
Pr: 0.624 0.624 0.248
Dy: 0.000 0.000 0.000
Se: 0.185 0.185 0.370
Se: 0.815 0.815 0.630
S: 0.000 0.500 0.000
S: 0.500 0.000 0.000



3.
First-principles (PBE) data for a relaxed structure of Pm3Dy12Mg, as listed in Alexandria.

Computed properties:
formation energy from the elements	21	meV per atom
size of the total moment	0.00	μB per atom

Cell: 5.013 5.013 20.079 Å, 90.00 90.00 90.00°
Fractional coordinates of all 16 atoms:
Pm: 0.000 0.000 0.248
Pm: 0.000 0.000 0.500
Pm: 0.000 0.000 0.752
Dy: 0.500 0.500 0.000
Dy: 0.500 0.500 0.245
Dy: 0.500 0.500 0.500
Dy: 0.500 0.500 0.755
Dy: 0.500 0.000 0.122
Dy: 0.500 0.000 0.373
Dy: 0.500 0.000 0.627
Dy: 0.500 0.000 0.878
Dy: 0.000 0.500 0.122
Dy: 0.000 0.500 0.373
Dy: 0.000 0.500 0.627
Dy: 0.000 0.500 0.878
Mg: 0.000 0.000 0.000



4.
First-principles (PBE) data for a relaxed structure of NbV2C, as listed in Alexandria.

Computed properties:
formation energy from the elements	-279	meV per atom
size of the total moment	0.00	μB per atom

Cell: 2.910 2.910 7.275 Å, 78.46 78.46 60.00°
Fractional coordinates of all 4 atoms:
Nb: 0.500 0.500 0.500
C: 0.000 0.000 0.000
V: 0.720 0.720 0.841
V: 0.280 0.280 0.159



5.
First-principles (PBE) data for a relaxed structure of DyNi2, as listed in Alexandria.

Computed properties:
formation energy from the elements	-449	meV per atom
size of the total moment	0.00	μB per atom

Cell: 5.065 5.065 5.065 Å, 60.00 60.00 60.00°
Fractional coordinates of all 6 atoms:
Dy: 0.250 0.250 0.250
Dy: 0.000 0.000 0.000
Ni: 0.625 0.625 0.125
Ni: 0.625 0.125 0.625
Ni: 0.125 0.625 0.625
Ni: 0.625 0.625 0.625



6.
First-principles (PBE) data for a relaxed structure of ReHCl, as listed in Alexandria.

Computed properties:
uncorrected energy	-105.35	eV per cell
size of the total moment	0.00	μB per atom

Cell: 3.940 8.050 12.130 Å, 70.78 80.65 75.83°
Fractional coordinates of all 18 atoms:
Re: 0.344 0.618 0.194
Re: 0.498 0.325 0.179
Re: 0.998 0.825 0.679
Re: 0.913 0.395 0.279
Re: 0.413 0.895 0.779
Re: 0.844 0.118 0.694
H: 0.301 0.559 0.339
H: 0.029 0.206 0.236
H: 0.529 0.706 0.736
H: 0.482 0.212 0.323
H: 0.982 0.712 0.823
H: 0.801 0.059 0.839
Cl: 0.731 0.823 0.216
Cl: 0.342 0.831 0.985
Cl: 0.110 0.780 0.499
Cl: 0.231 0.323 0.716
Cl: 0.842 0.331 0.485
Cl: 0.610 0.280 0.999